(1)
# CrCd2Co, optimized geometry, DFT PBE
data_CrCd2Co
_chemical_formula_sum 'Cr1 Cd2 Co1'
_space_group_name_H-M_alt 'P 1'
_space_group_IT_number 1
_cell_length_a 9.2842
_cell_length_b 9.2842
_cell_length_c 9.2842
_cell_angle_alpha 18.34
_cell_angle_beta 18.34
_cell_angle_gamma 18.34
loop_
_space_group_symop_operation_xyz
'x,y,z'
loop_
_atom_site_label
_atom_site_type_symbol
_atom_site_fract_x
_atom_site_fract_y
_atom_site_fract_z
Cd1 Cd 0.9963 0.9963 0.9963
Cd2 Cd 0.5037 0.5037 0.5037
Cr1 Cr 0.7500 0.7500 0.7500
Co1 Co 0.2500 0.2500 0.2500
# energy of formation from the pure elements = 545.1 meV/atom
# space group = R-3m (166)
# polymorph energy (0 for the lowest one) = 0.2856 eV/atom

(2)
# Rb2MgMnBr6, optimized geometry, DFT PBE
data_Rb2MgMnBr6
_chemical_formula_sum 'Rb4 Mg2 Mn2 Br12'
_space_group_name_H-M_alt 'P 1'
_space_group_IT_number 1
_cell_length_a 7.6358
_cell_length_b 7.6358
_cell_length_c 13.5266
_cell_angle_alpha 73.61
_cell_angle_beta 73.61
_cell_angle_gamma 60.00
loop_
_space_group_symop_operation_xyz
'x,y,z'
loop_
_atom_site_label
_atom_site_type_symbol
_atom_site_fract_x
_atom_site_fract_y
_atom_site_fract_z
Mg1 Mg 0.5854 0.5854 0.2438
Mg2 Mg 0.4146 0.4146 0.7562
Br1 Br 0.2065 0.2065 0.8784
Br2 Br 0.2915 0.7935 0.1216
Br3 Br 0.7935 0.7935 0.1216
Br4 Br 0.6181 0.1349 0.6289
Br5 Br 0.7085 0.2065 0.8784
Br6 Br 0.7935 0.2915 0.1216
Br7 Br 0.8651 0.3819 0.3711
Br8 Br 0.1349 0.6181 0.6289
Br9 Br 0.3819 0.8651 0.3711
Br10 Br 0.3819 0.3819 0.3711
Br11 Br 0.2065 0.7085 0.8784
Br12 Br 0.6181 0.6181 0.6289
Rb1 Rb 0.1222 0.1222 0.6334
Rb2 Rb 0.7064 0.7064 0.8807
Rb3 Rb 0.8778 0.8778 0.3666
Rb4 Rb 0.2936 0.2936 0.1193
Mn1 Mn 0.5000 0.5000 0.5000
Mn2 Mn 0.0000 0.0000 0.0000
# space group = R-3m (166)
# polymorph energy (0 for the lowest one) = 0.0000 eV/atom

(3)
# Ga2AgAu2, optimized geometry, DFT PBE
data_Ga2AgAu2
_chemical_formula_sum 'Ga4 Ag2 Au4'
_space_group_name_H-M_alt 'P 1'
_space_group_IT_number 1
_cell_length_a 7.4583
_cell_length_b 7.4583
_cell_length_c 3.3553
_cell_angle_alpha 90.00
_cell_angle_beta 90.00
_cell_angle_gamma 90.00
loop_
_space_group_symop_operation_xyz
'x,y,z'
loop_
_atom_site_label
_atom_site_type_symbol
_atom_site_fract_x
_atom_site_fract_y
_atom_site_fract_z
Ga1 Ga 0.6623 0.8377 0.5000
Ga2 Ga 0.3377 0.1623 0.5000
Ga3 Ga 0.1623 0.6623 0.5000
Ga4 Ga 0.8377 0.3377 0.5000
Au1 Au 0.1400 0.3600 0.0000
Au2 Au 0.3600 0.8600 0.0000
Au3 Au 0.6400 0.1400 0.0000
Au4 Au 0.8600 0.6400 0.0000
Ag1 Ag 0.5000 0.5000 0.0000
Ag2 Ag 0.0000 0.0000 0.0000
# energy of formation from the pure elements = -64.4 meV/atom
# space group = P4/mbm (127)
# polymorph energy (0 for the lowest one) = 0.0681 eV/atom

(4)
# KHgPd2, optimized geometry, DFT PBE
data_KHgPd2
_chemical_formula_sum 'K1 Hg1 Pd2'
_space_group_name_H-M_alt 'P 1'
_space_group_IT_number 1
_cell_length_a 4.7457
_cell_length_b 4.7459
_cell_length_c 6.3409
_cell_angle_alpha 68.08
_cell_angle_beta 68.02
_cell_angle_gamma 60.00
loop_
_space_group_symop_operation_xyz
'x,y,z'
loop_
_atom_site_label
_atom_site_type_symbol
_atom_site_fract_x
_atom_site_fract_y
_atom_site_fract_z
Pd1 Pd 0.6798 0.1797 0.4607
Pd2 Pd 0.3202 0.8203 0.5393
K1 K 0.5000 0.0000 0.0000
Hg1 Hg 0.0000 0.5000 0.5000
# energy of formation from the pure elements = -164.9 meV/atom
# space group = R-3m (166)

(5)
# LiOsRh2, optimized geometry, DFT PBE
data_LiOsRh2
_chemical_formula_sum 'Li1 Os1 Rh2'
_space_group_name_H-M_alt 'P 1'
_space_group_IT_number 1
_cell_length_a 3.5204
_cell_length_b 3.9412
_cell_length_c 3.9412
_cell_angle_alpha 90.00
_cell_angle_beta 90.00
_cell_angle_gamma 90.00
loop_
_space_group_symop_operation_xyz
'x,y,z'
loop_
_atom_site_label
_atom_site_type_symbol
_atom_site_fract_x
_atom_site_fract_y
_atom_site_fract_z
Os1 Os 0.5000 0.0000 0.5000
Rh1 Rh 0.0000 0.0000 0.0000
Rh2 Rh 0.0000 0.5000 0.5000
Li1 Li 0.5000 0.5000 0.0000
# energy of formation from the pure elements = 194.9 meV/atom
# space group = P4/mmm (123)
# polymorph energy (0 for the lowest one) = 0.2090 eV/atom

(6)
# NdSi2NiIr, optimized geometry, DFT PBE
data_NdSi2NiIr
_chemical_formula_sum 'Nd1 Si2 Ni1 Ir1'
_space_group_name_H-M_alt 'P 1'
_space_group_IT_number 1
_cell_length_a 4.0631
_cell_length_b 4.0631
_cell_length_c 5.8057
_cell_angle_alpha 110.48
_cell_angle_beta 110.48
_cell_angle_gamma 90.00
loop_
_space_group_symop_operation_xyz
'x,y,z'
loop_
_atom_site_label
_atom_site_type_symbol
_atom_site_fract_x
_atom_site_fract_y
_atom_site_fract_z
Si1 Si 0.3753 0.3753 0.7507
Si2 Si 0.6247 0.6247 0.2493
Ni1 Ni 0.2500 0.7500 0.5000
Nd1 Nd 0.0000 0.0000 0.0000
Ir1 Ir 0.7500 0.2500 0.5000
# space group = I-4m2 (119)
# VASP energy = -6.9416 eV per atom

(7)
# Er4Cd2Ga, optimized geometry, DFT PBE
data_Er4Cd2Ga
_chemical_formula_sum 'Er4 Cd2 Ga1'
_space_group_name_H-M_alt 'P 1'
_space_group_IT_number 1
_cell_length_a 5.1175
_cell_length_b 5.1175
_cell_length_c 8.8606
_cell_angle_alpha 73.22
_cell_angle_beta 73.22
_cell_angle_gamma 60.00
loop_
_space_group_symop_operation_xyz
'x,y,z'
loop_
_atom_site_label
_atom_site_type_symbol
_atom_site_fract_x
_atom_site_fract_y
_atom_site_fract_z
Er1 Er 0.1250 0.1250 0.6251
Er2 Er 0.6239 0.6239 0.1284
Er3 Er 0.3761 0.3761 0.8716
Er4 Er 0.8750 0.8750 0.3749
Cd1 Cd 0.2501 0.2501 0.2497
Cd2 Cd 0.7499 0.7499 0.7503
Ga1 Ga 0.0000 0.0000 0.0000
# energy of formation from the pure elements = -202.2 meV/atom
# space group = R-3m (166)

(8)
# Zn3Ag, optimized geometry, DFT PBE
data_Zn3Ag
_chemical_formula_sum 'Zn3 Ag1'
_space_group_name_H-M_alt 'P 1'
_space_group_IT_number 1
_cell_length_a 3.9648
_cell_length_b 3.9648
_cell_length_c 3.9648
_cell_angle_alpha 90.00
_cell_angle_beta 90.00
_cell_angle_gamma 90.00
loop_
_space_group_symop_operation_xyz
'x,y,z'
loop_
_atom_site_label
_atom_site_type_symbol
_atom_site_fract_x
_atom_site_fract_y
_atom_site_fract_z
Zn1 Zn 0.0000 0.5000 0.5000
Zn2 Zn 0.5000 0.0000 0.5000
Zn3 Zn 0.5000 0.5000 0.0000
Ag1 Ag 0.0000 0.0000 0.0000
# energy of formation from the pure elements = 4.6 meV/atom
# space group = Pm-3m (221)

(9)
# Cu7Sn3, optimized geometry, DFT PBE
data_Cu7Sn3
_chemical_formula_sum 'Cu7 Sn3'
_space_group_name_H-M_alt 'P 1'
_space_group_IT_number 1
_cell_length_a 3.9303
_cell_length_b 5.7251
_cell_length_c 7.3341
_cell_angle_alpha 103.35
_cell_angle_beta 105.54
_cell_angle_gamma 90.00
loop_
_space_group_symop_operation_xyz
'x,y,z'
loop_
_atom_site_label
_atom_site_type_symbol
_atom_site_fract_x
_atom_site_fract_y
_atom_site_fract_z
Cu1 Cu 0.8021 0.8975 0.6042
Cu2 Cu 0.5959 0.3133 0.1917
Cu3 Cu 0.4040 0.1950 0.8080
Cu4 Cu 0.5960 0.8050 0.1920
Cu5 Cu 0.4041 0.6867 0.8083
Cu6 Cu 0.0000 0.5000 0.0000
Cu7 Cu 0.1979 0.1025 0.3958
Sn1 Sn 0.1949 0.6300 0.3899
Sn2 Sn 0.8051 0.3700 0.6101
Sn3 Sn 0.0000 0.0000 0.0000
# energy of formation from the pure elements = 86.9 meV/atom
# space group = C2/m (12)

(10)
# RbCl2F, optimized geometry, DFT PBE
data_RbCl2F
_chemical_formula_sum 'Rb1 Cl2 F1'
_space_group_name_H-M_alt 'P 1'
_space_group_IT_number 1
_cell_length_a 5.3520
_cell_length_b 5.3520
_cell_length_c 5.3520
_cell_angle_alpha 60.00
_cell_angle_beta 60.00
_cell_angle_gamma 60.00
loop_
_space_group_symop_operation_xyz
'x,y,z'
loop_
_atom_site_label
_atom_site_type_symbol
_atom_site_fract_x
_atom_site_fract_y
_atom_site_fract_z
Cl1 Cl 0.7500 0.7500 0.7500
Cl2 Cl 0.2500 0.2500 0.2500
F1 F 0.0000 0.0000 0.0000
Rb1 Rb 0.5000 0.5000 0.5000
# space group = Fm-3m (225)
# VASP energy = -2.2661 eV per atom

(11)
# Ba2NpTlTe5, optimized geometry, DFT PBE
data_Ba2NpTlTe5
_chemical_formula_sum 'Ba4 Np2 Tl2 Te10'
_space_group_name_H-M_alt 'P 1'
_space_group_IT_number 1
_cell_length_a 4.6695
_cell_length_b 10.3639
_cell_length_c 14.3987
_cell_angle_alpha 90.00
_cell_angle_beta 90.00
_cell_angle_gamma 103.02
loop_
_space_group_symop_operation_xyz
'x,y,z'
loop_
_atom_site_label
_atom_site_type_symbol
_atom_site_fract_x
_atom_site_fract_y
_atom_site_fract_z
Te1 Te 0.2890 0.5780 0.6559
Te2 Te 0.4902 0.9804 0.7568
Te3 Te 0.5098 0.0196 0.2568
Te4 Te 0.7110 0.4220 0.1559
Te5 Te 0.3577 0.7154 0.0027
Te6 Te 0.6866 0.3732 0.8691
Te7 Te 0.3134 0.6268 0.3691
Te8 Te 0.9458 0.8917 0.5744
Te9 Te 0.6423 0.2846 0.5027
Te10 Te 0.0542 0.1083 0.0744
Np1 Np 0.7946 0.5892 0.5137
Np2 Np 0.2054 0.4108 0.0137
Ba1 Ba 0.1158 0.2316 0.6864
Ba2 Ba 0.8628 0.7257 0.8144
Ba3 Ba 0.8842 0.7684 0.1864
Ba4 Ba 0.1372 0.2743 0.3144
Tl1 Tl 0.5310 0.0619 0.9507
Tl2 Tl 0.4690 0.9381 0.4507
# space group = Cmc2_1 (36)
# VASP energy = -4.8895 eV per atom

(12)
# EuH2Rh, optimized geometry, DFT PBE
data_EuH2Rh
_chemical_formula_sum 'Eu1 H2 Rh1'
_space_group_name_H-M_alt 'P 1'
_space_group_IT_number 1
_cell_length_a 3.2706
_cell_length_b 3.2706
_cell_length_c 5.4315
_cell_angle_alpha 72.48
_cell_angle_beta 72.48
_cell_angle_gamma 60.00
loop_
_space_group_symop_operation_xyz
'x,y,z'
loop_
_atom_site_label
_atom_site_type_symbol
_atom_site_fract_x
_atom_site_fract_y
_atom_site_fract_z
Eu1 Eu 0.0000 0.0000 0.0000
H1 H 0.2102 0.2102 0.3695
H2 H 0.7898 0.7898 0.6305
Rh1 Rh 0.5000 0.5000 0.5000
# space group = R-3m (166)
# polymorph energy (0 for the lowest one) = 0.0000 eV/atom

(13)
# YBrO, optimized geometry, DFT PBE
data_YBrO
_chemical_formula_sum 'Y3 Br3 O3'
_space_group_name_H-M_alt 'P 1'
_space_group_IT_number 1
_cell_length_a 3.7539
_cell_length_b 3.7539
_cell_length_c 15.9419
_cell_angle_alpha 90.00
_cell_angle_beta 90.00
_cell_angle_gamma 120.00
loop_
_space_group_symop_operation_xyz
'x,y,z'
loop_
_atom_site_label
_atom_site_type_symbol
_atom_site_fract_x
_atom_site_fract_y
_atom_site_fract_z
Br1 Br 0.0000 0.0000 0.4719
Br2 Br 0.3333 0.6667 0.1386
Br3 Br 0.6667 0.3333 0.8052
Y1 Y 0.0000 0.0000 0.6740
Y2 Y 0.6667 0.3333 0.0074
Y3 Y 0.3333 0.6667 0.3407
O1 O 0.0000 0.0000 0.9805
O2 O 0.6667 0.3333 0.3138
O3 O 0.3333 0.6667 0.6471
# space group = R3m (160)
# VASP energy = -7.0987 eV per atom

(14)
# Ca2CoCu, optimized geometry, DFT PBE
data_Ca2CoCu
_chemical_formula_sum 'Ca4 Co2 Cu2'
_space_group_name_H-M_alt 'P 1'
_space_group_IT_number 1
_cell_length_a 7.5338
_cell_length_b 7.5338
_cell_length_c 6.1207
_cell_angle_alpha 52.02
_cell_angle_beta 52.02
_cell_angle_gamma 90.00
loop_
_space_group_symop_operation_xyz
'x,y,z'
loop_
_atom_site_label
_atom_site_type_symbol
_atom_site_fract_x
_atom_site_fract_y
_atom_site_fract_z
Ca1 Ca 0.1419 0.6250 0.2500
Ca2 Ca 0.8750 0.8581 0.7500
Ca3 Ca 0.6081 0.1250 0.2500
Ca4 Ca 0.3750 0.3919 0.7500
Co1 Co 0.5000 0.5000 0.0000
Co2 Co 0.2500 0.7500 0.5000
Cu1 Cu 0.7500 0.2500 0.5000
Cu2 Cu 0.0000 0.0000 0.0000
# energy of formation from the pure elements = 487.1 meV/atom
# space group = I-42d (122)
# polymorph energy (0 for the lowest one) = 0.4071 eV/atom

(15)
# TeSeBr2, optimized geometry, DFT PBE
data_TeSeBr2
_chemical_formula_sum 'Te4 Se4 Br8'
_space_group_name_H-M_alt 'P 1'
_space_group_IT_number 1
_cell_length_a 6.3503
_cell_length_b 7.2872
_cell_length_c 12.0167
_cell_angle_alpha 90.00
_cell_angle_beta 90.00
_cell_angle_gamma 90.00
loop_
_space_group_symop_operation_xyz
'x,y,z'
loop_
_atom_site_label
_atom_site_type_symbol
_atom_site_fract_x
_atom_site_fract_y
_atom_site_fract_z
Se1 Se 0.7500 0.9393 0.2500
Se2 Se 0.2500 0.0607 0.7500
Se3 Se 0.2500 0.5607 0.2500
Se4 Se 0.7500 0.4393 0.7500
Te1 Te 0.5000 0.7500 0.1167
Te2 Te 0.0000 0.2500 0.6167
Te3 Te 0.5000 0.2500 0.8833
Te4 Te 0.0000 0.7500 0.3833
Br1 Br 0.7320 0.9376 0.9024
Br2 Br 0.2320 0.0624 0.4024
Br3 Br 0.2680 0.0624 0.0976
Br4 Br 0.7680 0.4376 0.4024
Br5 Br 0.7680 0.9376 0.5976
Br6 Br 0.2680 0.5624 0.9024
Br7 Br 0.7320 0.4376 0.0976
Br8 Br 0.2320 0.5624 0.5976
# space group = Pnna (52)
# polymorph energy (0 for the lowest one) = 0.0000 eV/atom

(16)
# Zr2SiBr, optimized geometry, DFT PBE
data_Zr2SiBr
_chemical_formula_sum 'Zr2 Si1 Br1'
_space_group_name_H-M_alt 'P 1'
_space_group_IT_number 1
_cell_length_a 3.4276
_cell_length_b 3.2286
_cell_length_c 7.8559
_cell_angle_alpha 65.90
_cell_angle_beta 90.00
_cell_angle_gamma 90.00
loop_
_space_group_symop_operation_xyz
'x,y,z'
loop_
_atom_site_label
_atom_site_type_symbol
_atom_site_fract_x
_atom_site_fract_y
_atom_site_fract_z
Zr1 Zr 0.0000 0.4682 0.5327
Zr2 Zr 0.0000 0.0318 0.9673
Si1 Si 0.5000 0.7500 0.7500
Br1 Br 0.5000 0.2500 0.2500
# space group = P2/m (10)
# polymorph energy (0 for the lowest one) = 0.1771 eV/atom

(17)
# Tb6Nd7Sm16, optimized geometry, DFT PBE
data_Tb6Nd7Sm16
_chemical_formula_sum 'Tb6 Nd7 Sm16'
_space_group_name_H-M_alt 'P 1'
_space_group_IT_number 1
_cell_length_a 11.3366
_cell_length_b 11.3366
_cell_length_c 11.3366
_cell_angle_alpha 60.00
_cell_angle_beta 60.00
_cell_angle_gamma 60.00
loop_
_space_group_symop_operation_xyz
'x,y,z'
loop_
_atom_site_label
_atom_site_type_symbol
_atom_site_fract_x
_atom_site_fract_y
_atom_site_fract_z
Nd1 Nd 0.0000 0.5000 0.0000
Nd2 Nd 0.5000 0.0000 0.0000
Nd3 Nd 0.5000 0.0000 0.5000
Nd4 Nd 0.0000 0.0000 0.0000
Nd5 Nd 0.0000 0.5000 0.5000
Nd6 Nd 0.0000 0.0000 0.5000
Nd7 Nd 0.5000 0.5000 0.0000
Sm1 Sm 0.1262 0.6214 0.1262
Sm2 Sm 0.3490 0.3490 0.9529
Sm3 Sm 0.9529 0.3490 0.3490
Sm4 Sm 0.8738 0.8738 0.3786
Sm5 Sm 0.1262 0.1262 0.6214
Sm6 Sm 0.3786 0.8738 0.8738
Sm7 Sm 0.6510 0.6510 0.6510
Sm8 Sm 0.6510 0.6510 0.0471
Sm9 Sm 0.1262 0.1262 0.1262
Sm10 Sm 0.3490 0.3490 0.3490
Sm11 Sm 0.6510 0.0471 0.6510
Sm12 Sm 0.8738 0.8738 0.8738
Sm13 Sm 0.3490 0.9529 0.3490
Sm14 Sm 0.8738 0.3786 0.8738
Sm15 Sm 0.0471 0.6510 0.6510
Sm16 Sm 0.6214 0.1262 0.1262
Tb1 Tb 0.2660 0.2660 0.7340
Tb2 Tb 0.2660 0.7340 0.7340
Tb3 Tb 0.7340 0.2660 0.7340
Tb4 Tb 0.7340 0.7340 0.2660
Tb5 Tb 0.2660 0.7340 0.2660
Tb6 Tb 0.7340 0.2660 0.2660
# energy of formation from the pure elements = 234.8 meV/atom
# space group = Fm-3m (225)

(18)
# BaSi2NiRh, optimized geometry, DFT PBE
data_BaSi2NiRh
_chemical_formula_sum 'Ba1 Si2 Ni1 Rh1'
_space_group_name_H-M_alt 'P 1'
_space_group_IT_number 1
_cell_length_a 4.0507
_cell_length_b 4.0507
_cell_length_c 6.8412
_cell_angle_alpha 107.22
_cell_angle_beta 107.22
_cell_angle_gamma 90.00
loop_
_space_group_symop_operation_xyz
'x,y,z'
loop_
_atom_site_label
_atom_site_type_symbol
_atom_site_fract_x
_atom_site_fract_y
_atom_site_fract_z
Si1 Si 0.3444 0.3444 0.6888
Si2 Si 0.6556 0.6556 0.3113
Ni1 Ni 0.2500 0.7500 0.5000
Ba1 Ba 0.0000 0.0000 0.0000
Rh1 Rh 0.7500 0.2500 0.5000
# space group = I-4m2 (119)
# VASP energy = -5.8068 eV per atom

(19)
# RePPdCl2, optimized geometry, DFT PBE
data_RePPdCl2
_chemical_formula_sum 'Re1 P1 Pd1 Cl2'
_space_group_name_H-M_alt 'P 1'
_space_group_IT_number 1
_cell_length_a 4.8315
_cell_length_b 4.8315
_cell_length_c 4.6113
_cell_angle_alpha 90.00
_cell_angle_beta 90.00
_cell_angle_gamma 90.00
loop_
_space_group_symop_operation_xyz
'x,y,z'
loop_
_atom_site_label
_atom_site_type_symbol
_atom_site_fract_x
_atom_site_fract_y
_atom_site_fract_z
P1 P 0.0000 0.0000 0.5000
Re1 Re 0.0000 0.0000 0.0000
Cl1 Cl 0.5000 0.0000 0.0000
Cl2 Cl 0.0000 0.5000 0.0000
Pd1 Pd 0.5000 0.5000 0.5000
# space group = P4/mmm (123)
# polymorph energy (0 for the lowest one) = 0.0000 eV/atom